Record 1
Here is a relaxed CrReBr2 crystal from Alexandria via LeMat-Bulk. Energies are from PBE-GGA.

The structure in extended XYZ format:
```
8
Lattice="5.620 0.000 0.000 0.000 3.365 0.000 -2.013 0.000 9.265" Properties=species:S:1:pos:R:3 pbc="T T T"
Cr 0.000 0.000 0.000
Cr 2.810 1.682 0.000
Re 0.404 1.682 1.498
Re 3.214 0.000 1.498
Br -0.349 0.000 7.449
Br 1.635 0.000 3.533
Br 2.461 1.682 7.449
Br 4.445 1.682 3.533
```

Values from the calculation:
Distance to the lowest polymorph of the same formula: 0 meV/atom
Density of states at the Fermi level: 3.57 states/eV/cell

Record 2
Here is a relaxed CrRe2Br crystal from Alexandria via LeMat-Bulk. Energies are from PBE-GGA.

The structure in extended XYZ format:
```
4
Lattice="3.054 0.000 0.000 0.000 3.065 0.000 0.000 0.000 7.216" Properties=species:S:1:pos:R:3 pbc="T T T"
Cr 0.000 0.000 0.000
Re 1.527 1.532 1.330
Re 1.527 1.532 5.886
Br 1.527 0.000 3.608
```

Values from the calculation:
Distance to the lowest polymorph of the same formula: 89 meV/atom
Density of states at the Fermi level: 3.13 states/eV/cell

Record 3
Here is a relaxed CrReBr2 crystal from Alexandria via LeMat-Bulk. Energies are from PBE-GGA.

The structure in extended XYZ format:
```
8
Lattice="3.130 0.000 0.000 0.000 3.159 0.000 0.000 0.000 18.096" Properties=species:S:1:pos:R:3 pbc="T T T"
Cr 0.000 0.000 0.000
Cr 1.565 1.580 9.048
Re 0.000 1.580 16.458
Re 1.565 0.000 7.410
Br 0.000 0.000 10.670
Br 0.000 1.580 5.578
Br 1.565 0.000 14.626
Br 1.565 1.580 1.622
```

Values from the calculation:
Distance to the lowest polymorph of the same formula: 333 meV/atom
Density of states at the Fermi level: 6.81 states/eV/cell

Record 4
Here is a relaxed CrReBr2 crystal from Alexandria via LeMat-Bulk. Energies are from PBE-GGA.

The structure in extended XYZ format:
```
16
Lattice="5.527 0.000 0.000 0.000 5.527 0.000 0.000 0.000 10.979" Properties=species:S:1:pos:R:3 pbc="T T T"
Cr 0.000 0.000 0.000
Cr 0.000 2.763 2.745
Cr 2.763 0.000 8.234
Cr 2.763 2.763 5.489
Re 0.000 0.000 5.489
Re 0.000 2.763 8.234
Re 2.763 0.000 2.745
Re 2.763 2.763 0.000
Br 1.299 1.382 1.372
Br 1.382 4.063 4.117
Br 1.382 4.228 9.606
Br 1.464 1.382 6.862
Br 4.063 4.145 6.862
Br 4.145 1.299 9.606
Br 4.145 1.464 4.117
Br 4.228 4.145 1.372
```

Values from the calculation:
Distance to the lowest polymorph of the same formula: 1244 meV/atom
Density of states at the Fermi level: 7.28 states/eV/cell

Record 5
Here is a relaxed CrReBr crystal from Alexandria via LeMat-Bulk. Energies are from PBE-GGA.

The structure in extended XYZ format:
```
6
Lattice="2.971 0.000 0.000 0.000 2.971 0.000 0.000 0.000 10.761" Properties=species:S:1:pos:R:3 pbc="T T T"
Cr 0.000 0.000 0.000
Cr 1.486 1.486 5.381
Re 0.000 0.000 6.774
Re 1.486 1.486 1.393
Br 0.000 0.000 3.500
Br 1.486 1.486 8.880
```

Values from the calculation:
Distance to the lowest polymorph of the same formula: 220 meV/atom
Density of states at the Fermi level: 4.64 states/eV/cell

Record 6
Here is a relaxed Cr3ReBr crystal from Alexandria via LeMat-Bulk. Energies are from PBE-GGA.

The structure in extended XYZ format:
```
5
Lattice="4.267 0.000 0.000 0.000 4.267 0.000 0.000 0.000 4.267" Properties=species:S:1:pos:R:3 pbc="T T T"
Cr 0.000 0.000 2.134
Cr 0.000 2.134 0.000
Cr 2.134 0.000 0.000
Re 2.134 2.134 2.134
Br 0.000 0.000 0.000
```

Values from the calculation:
Distance to the lowest polymorph of the same formula: 449 meV/atom
Density of states at the Fermi level: 6.61 states/eV/cell

Record 7
Here is a relaxed CrReBr2 crystal from Alexandria via LeMat-Bulk. Energies are from PBE-GGA.

The structure in extended XYZ format:
```
4
Lattice="3.297 0.000 0.000 0.000 2.995 0.000 -0.047 0.000 8.834" Properties=species:S:1:pos:R:3 pbc="T T T"
Cr 0.000 0.000 0.000
Re 1.648 1.497 1.322
Br 1.649 0.000 3.367
Br 3.257 1.497 6.851
```

Values from the calculation:
Distance to the lowest polymorph of the same formula: 43 meV/atom
Density of states at the Fermi level: 3.38 states/eV/cell

Record 8
Here is a relaxed CrRe2Br crystal from Alexandria via LeMat-Bulk. Energies are from PBE-GGA.

The structure in extended XYZ format:
```
4
Lattice="2.922 0.000 0.000 0.000 4.549 0.000 0.000 0.000 4.559" Properties=species:S:1:pos:R:3 pbc="T T T"
Cr 0.000 0.000 0.000
Re 0.000 2.275 2.279
Re 1.461 2.275 0.000
Br 1.461 0.000 2.279
```

Values from the calculation:
Distance to the lowest polymorph of the same formula: 471 meV/atom
Density of states at the Fermi level: 4.19 states/eV/cell

What did the seventh record say?
Here is a relaxed CrReBr2 crystal from Alexandria via LeMat-Bulk. Energies are from PBE-GGA.

The structure in extended XYZ format:
```
4
Lattice="3.297 0.000 0.000 0.000 2.995 0.000 -0.047 0.000 8.834" Properties=species:S:1:pos:R:3 pbc="T T T"
Cr 0.000 0.000 0.000
Re 1.648 1.497 1.322
Br 1.649 0.000 3.367
Br 3.257 1.497 6.851
```

Values from the calculation:
Distance to the lowest polymorph of the same formula: 43 meV/atom
Density of states at the Fermi level: 3.38 states/eV/cell